Computed, not measured: a relaxed Cs4Rb3Ag crystal at the PBE level of DFT.

CIF file:
```
data_Cs4Rb3Ag
_symmetry_space_group_name_H-M 'I m m m'
_symmetry_Int_Tables_number 71
_symmetry_space_group_name_Hall '-I 2 2'
_cell_length_a 7.241
_cell_length_b 10.993
_cell_length_c 18.126
_cell_angle_alpha 90.00
_cell_angle_beta 90.00
_cell_angle_gamma 90.00
loop_
_atom_site_label
_atom_site_type_symbol
_atom_site_fract_x
_atom_site_fract_y
_atom_site_fract_z
_atom_site_occupancy
Cs1 Cs 0.000 0.239 0.140 1
Rb1 Rb 0.000 0.000 0.390 1
Rb2 Rb 0.000 0.500 0.500 1
Ag1 Ag 0.000 0.500 0.000 1
```

Energy of formation, eV per atom: 0.05
Final energy, eV/atom: -1.093


Computed, not measured: a relaxed Li2LaZn9 crystal at the PBE level of DFT.

CIF file:
```
data_Li2LaZn9
_symmetry_space_group_name_H-M 'P 6/m m m'
_symmetry_Int_Tables_number 191
_symmetry_space_group_name_Hall '-P 6 2'
_cell_length_a 7.8838
_cell_length_b 7.8838
_cell_length_c 3.8077
_cell_angle_alpha 90.00
_cell_angle_beta 90.00
_cell_angle_gamma 120.00
loop_
_atom_site_label
_atom_site_type_symbol
_atom_site_fract_x
_atom_site_fract_y
_atom_site_fract_z
_atom_site_occupancy
Li1 Li 0.3333 0.6667 0.0000 1
La1 La 0.0000 0.0000 0.0000 1
Zn1 Zn 0.0000 0.5000 0.0000 1
Zn2 Zn 0.2013 0.4027 0.5000 1
```

Energy of formation, eV per atom: -0.06
Final energy, eV/atom: -1.750
Offset from the most stable computed form, meV per atom: 150


Computed, not measured: a relaxed Tm2Th3Sc2 crystal at the PBE level of DFT.

CIF file:
```
data_Tm2Th3Sc2
_symmetry_space_group_name_H-M 'C 1 2/m 1'
_symmetry_Int_Tables_number 12
_cell_length_a 11.062
_cell_length_b 4.902
_cell_length_c 7.691
_cell_angle_alpha 90.00
_cell_angle_beta 97.73
_cell_angle_gamma 90.00
loop_
_symmetry_equiv_pos_as_xyz
'x,y,z'
'-x,-y,-z'
'-x,y,-z'
'x,-y,z'
'x+1/2,y+1/2,z'
'-x+1/2,-y+1/2,-z'
'-x+1/2,y+1/2,-z'
'x+1/2,-y+1/2,z'
loop_
_atom_site_label
_atom_site_type_symbol
_atom_site_fract_x
_atom_site_fract_y
_atom_site_fract_z
_atom_site_occupancy
Tm1 Tm 0.142 0.000 0.430 1
Th1 Th 0.000 0.000 0.000 1
Th2 Th 0.213 0.500 0.142 1
Sc1 Sc 0.073 0.500 0.716 1
```

Energy of formation, eV per atom: 0.04
Final energy, eV/atom: -6.229
Offset from the most stable computed form, meV per atom: 0


Computed, not measured: a relaxed Ni2MoRh crystal at the PBE level of DFT.

CIF file:
```
data_Ni2MoRh
_symmetry_space_group_name_H-M 'C 1 2/m 1'
_symmetry_Int_Tables_number 12
_cell_length_a 8.667
_cell_length_b 2.692
_cell_length_c 4.576
_cell_angle_alpha 90.00
_cell_angle_beta 100.56
_cell_angle_gamma 90.00
loop_
_symmetry_equiv_pos_as_xyz
'x,y,z'
'-x,-y,-z'
'-x,y,-z'
'x,-y,z'
'x+1/2,y+1/2,z'
'-x+1/2,-y+1/2,-z'
'-x+1/2,y+1/2,-z'
'x+1/2,-y+1/2,z'
loop_
_atom_site_label
_atom_site_type_symbol
_atom_site_fract_x
_atom_site_fract_y
_atom_site_fract_z
_atom_site_occupancy
Ni1 Ni 0.249 0.000 0.256 1
Mo1 Mo 0.000 0.000 0.500 1
Rh1 Rh 0.000 0.500 0.000 1
```

Energy of formation, eV per atom: 0.02
Final energy, eV/atom: -7.412
Offset from the most stable computed form, meV per atom: 153


Fermi-level density of states, respectively: 11.527 4.329 21.948 13.877 states/eV/cell.